DFT (GGA-PBE) results for a relaxed structure of Ta2NbS5.

Output
- energy relative to the elements, uncorrected (meV/atom) = -648
- E (eV per cell) = -59.6
- size of the total moment (μB/cell) = 1.505
- energy above the lowest structure with this stoichiometry (meV/atom) = 173

Unit cell a=4.540 b=7.005 c=6.967 alpha=83.94 beta=70.99 gamma=71.09
Sites, in units of the cell vectors:
Nb1 0.500 0.500 0.500
Ta1 0.186 0.500 0.129
Ta2 0.814 0.500 0.871
S1 0.551 0.729 0.169
S2 0.000 0.500 0.500
S3 0.449 0.271 0.831
S4 0.780 0.271 0.169
S5 0.220 0.729 0.831